No. 1
## RbSc2Se (SCAN)

Data for a crystal of RbSc2Se relaxed with PBEsol.

Cell and atoms, written as POSCAR:
```
RbSc2Se
1.0
-0.243 -2.543 -2.635
2.794 -2.305 -0.589
-3.134 -8.153 5.601
Sc Se Rb
2 1 1
Cartesian
1.162 -7.127 -0.896 Sc
-1.744 -5.873 3.273 Sc
-0.291 -6.500 1.189 Se
0.000 0.000 0.000 Rb
```

Values from the calculation:
- Space-group type: R-3m (166)
- ΔE_f (raw): -494 meV per atom
- DOS at the Fermi energy: 1.04 states/eV/atom

No. 2
## RbSc3Se (SCAN)

Data for a crystal of RbSc3Se relaxed with PBEsol.

Cell and atoms, written as POSCAR:
```
RbSc3Se
1.0
5.247 0.000 0.000
0.000 5.247 0.000
0.000 0.000 5.247
Sc Se Rb
3 1 1
Cartesian
0.000 2.624 0.000 Sc
0.000 0.000 2.624 Sc
2.624 0.000 0.000 Sc
0.000 0.000 0.000 Se
2.624 2.624 2.624 Rb
```

Values from the calculation:
- Space-group type: Pm-3m (221)
- ΔE_f (raw): 1 meV per atom
- DOS at the Fermi energy: 0.88 states/eV/atom

No. 3
## Rb3ScSe (SCAN)

Data for a crystal of Rb3ScSe relaxed with PBEsol.

Cell and atoms, written as POSCAR:
```
Rb3ScSe
1.0
-1.214 3.715 -5.117
0.516 -5.135 -3.851
-6.303 -1.136 0.670
Sc Se Rb
1 1 3
Cartesian
0.000 0.000 0.000 Sc
-3.500 -1.278 -4.149 Se
0.258 -2.568 -1.925 Rb
-3.151 -0.568 0.335 Rb
-0.607 1.858 -2.559 Rb
```

Values from the calculation:
- Space-group type: Pm-3m (221)
- ΔE_f (raw): 645 meV per atom
- DOS at the Fermi energy: 1.47 states/eV/atom

No. 4
## Rb3ScSi (SCAN)

Data for a crystal of Rb3ScSi relaxed with PBEsol.

Cell and atoms, written as POSCAR:
```
Rb3ScSi
1.0
6.761 0.000 0.000
0.000 6.761 0.000
0.000 0.000 6.761
Sc Si Rb
1 1 3
Cartesian
0.000 0.000 0.000 Sc
3.381 3.381 3.381 Si
0.000 3.381 0.000 Rb
0.000 0.000 3.381 Rb
3.381 0.000 0.000 Rb
```

Values from the calculation:
- Space-group type: Pm-3m (221)
- ΔE_f (raw): 1349 meV per atom
- DOS at the Fermi energy: 2.06 states/eV/atom

No. 5
## RbZr2ScSi (SCAN)

Data for a crystal of RbZr2ScSi relaxed with PBEsol.

Cell and atoms, written as POSCAR:
```
RbZr2ScSi
1.0
4.867 0.000 0.000
0.000 4.867 0.000
0.000 0.000 5.338
Sc Si Rb Zr
1 1 1 2
Cartesian
2.434 2.434 2.669 Sc
0.000 0.000 2.669 Si
0.000 0.000 0.000 Rb
0.000 2.434 0.000 Zr
2.434 0.000 0.000 Zr
```

Values from the calculation:
- Space-group type: P4/mmm (123)
- ΔE_f (raw): 1935 meV per atom
- DOS at the Fermi energy: 0.94 states/eV/atom

No. 6
## Rb3ScSn (SCAN)

Data for a crystal of Rb3ScSn relaxed with PBEsol.

Cell and atoms, written as POSCAR:
```
Rb3ScSn
1.0
-4.986 -2.230 -4.249
4.789 -2.714 -4.194
-0.315 -5.962 3.498
Sc Sn Rb
1 1 3
Cartesian
-0.256 -5.453 -2.473 Sc
0.000 0.000 0.000 Sn
2.394 -1.357 -2.097 Rb
-0.157 -2.981 1.749 Rb
-2.493 -1.115 -2.125 Rb
```

Values from the calculation:
- Formation enthalpy at 0 K: 667.8 meV per atom
- Space-group type: Pm-3m (221)
- DOS at the Fermi energy: 1.30 states/eV/atom

No. 7
## Rb3ScTc (SCAN)

Data for a crystal of Rb3ScTc relaxed with PBEsol.

Cell and atoms, written as POSCAR:
```
Rb3ScTc
1.0
6.910 0.000 0.000
0.000 6.910 0.000
0.000 0.000 6.910
Sc Tc Rb
1 1 3
Cartesian
0.000 0.000 0.000 Sc
3.455 3.455 3.455 Tc
0.000 3.455 0.000 Rb
0.000 0.000 3.455 Rb
3.455 0.000 0.000 Rb
```

Values from the calculation:
- Formation enthalpy at 0 K: 1867.4 meV per atom
- Space-group type: Pm-3m (221)
- DOS at the Fermi energy: 2.96 states/eV/atom

No. 8
## RbSc5Te8 (SCAN)

Data for a crystal of RbSc5Te8 relaxed with PBEsol.

Cell and atoms, written as POSCAR:
```
RbSc5Te8
1.0
-1.904 -3.152 -1.794
8.947 -4.286 -1.966
-1.667 -2.236 10.370
Rb Sc Te
1 5 8
Cartesian
0.000 0.000 0.000 Rb
6.499 -5.190 2.220 Sc
3.522 -3.719 -1.880 Sc
1.886 -6.420 4.600 Sc
3.490 -3.253 2.011 Sc
-1.123 -4.483 4.390 Sc
-0.240 -6.235 6.530 Te
5.616 -3.439 0.080 Te
1.409 -3.575 0.109 Te
3.967 -6.098 6.502 Te
-1.789 -2.825 2.186 Te
7.166 -6.848 4.425 Te
3.712 -6.230 2.330 Te
1.665 -3.443 4.281 Te
```

Values from the calculation:
- Space-group type: C2/m (12)
- ΔE_f (raw): -1389 meV per atom

No. 9
## RbSc2Tl (SCAN)

Data for a crystal of RbSc2Tl relaxed with PBEsol.

Cell and atoms, written as POSCAR:
```
RbSc2Tl
1.0
5.252 0.000 0.000
2.626 4.548 0.000
2.626 1.516 4.288
Sc Tl Rb
2 1 1
Cartesian
2.626 1.516 1.072 Sc
7.878 4.548 3.216 Sc
5.252 3.032 2.144 Tl
0.000 0.000 0.000 Rb
```

Values from the calculation:
- Formation enthalpy at 0 K: 280.3 meV per atom
- Space-group type: Fm-3m (225)
- DOS at the Fermi energy: 0.42 states/eV/atom

No. 10
## Rb3ScTl (SCAN)

Data for a crystal of Rb3ScTl relaxed with PBEsol.

Cell and atoms, written as POSCAR:
```
Rb3ScTl
1.0
-3.831 -5.501 -1.124
4.271 -1.972 -4.906
3.644 -3.471 4.568
Sc Tl Rb
1 1 3
Cartesian
2.042 -5.472 -0.731 Sc
0.000 0.000 0.000 Tl
2.135 -0.986 -2.453 Rb
1.822 -1.736 2.284 Rb
-1.915 -2.750 -0.562 Rb
```

Values from the calculation:
- Formation enthalpy at 0 K: 675.9 meV per atom
- Space-group type: Pm-3m (221)
- DOS at the Fermi energy: 2.08 states/eV/atom

No. 11
## RbScW3 (SCAN)

Data for a crystal of RbScW3 relaxed with PBEsol.

Cell and atoms, written as POSCAR:
```
RbScW3
1.0
-2.386 1.365 -3.782
-4.021 -0.860 2.226
-0.046 4.389 1.613
Sc Rb W
1 1 3
Cartesian
-3.226 2.447 0.028 Sc
0.000 0.000 0.000 Rb
-2.011 -0.430 1.113 W
-0.023 2.194 0.806 W
-1.193 0.683 -1.891 W
```

Values from the calculation:
- Formation enthalpy at 0 K: 3699.4 meV per atom
- Space-group type: Pm-3m (221)
- DOS at the Fermi energy: 1.68 states/eV/atom

No. 12
## Rb2Se (SCAN)

Data for a crystal of Rb2Se relaxed with PBEsol.

Cell and atoms, written as POSCAR:
```
Rb2Se
1.0
5.612 0.000 0.000
2.806 4.860 0.000
2.806 1.620 4.582
Rb Se
2 1
Cartesian
8.418 4.860 3.437 Rb
2.806 1.620 1.146 Rb
0.000 0.000 0.000 Se
```

Values from the calculation:
- Space-group type: Fm-3m (225)
- ΔE_f (raw): -1246 meV per atom
- DOS at the Fermi energy: 0.00 states/eV/atom

No. 13
## RbSe (SCAN)

Data for a crystal of RbSe relaxed with PBEsol.

Cell and atoms, written as POSCAR:
```
RbSe
1.0
5.976 0.000 0.000
0.000 9.292 0.000
0.000 -4.646 8.048
Rb Se
6 6
Cartesian
0.000 -1.620 2.806 Rb
0.000 3.241 0.000 Rb
0.000 3.026 5.241 Rb
2.988 -3.172 5.495 Rb
2.988 6.345 0.000 Rb
2.988 1.474 2.553 Rb
4.769 0.000 0.000 Se
1.206 0.000 0.000 Se
4.201 0.000 5.365 Se
1.775 0.000 5.365 Se
1.775 4.646 2.683 Se
4.201 4.646 2.683 Se
```

Values from the calculation:
- Space-group type: P-62m (189)
- ΔE_f (raw): -1101 meV per atom

No. 14
## Rb2Si2Se (SCAN)

Data for a crystal of Rb2Si2Se relaxed with PBEsol.

Cell and atoms, written as POSCAR:
```
Rb2Si2Se
1.0
3.544 0.000 0.000
0.000 3.544 0.000
-1.772 -1.772 10.911
Si Se Rb
2 1 2
Cartesian
0.000 1.772 5.455 Si
1.772 0.000 5.455 Si
0.000 0.000 0.000 Se
0.000 0.000 8.737 Rb
1.772 1.772 2.174 Rb
```

Values from the calculation:
- Space-group type: I4/mmm (139)
- ΔE_f (raw): -165 meV per atom
- DOS at the Fermi energy: 0.47 states/eV/atom

No. 15
## RbSi3Se (SCAN)

Data for a crystal of RbSi3Se relaxed with PBEsol.

Cell and atoms, written as POSCAR:
```
RbSi3Se
1.0
-4.680 -2.537 0.719
0.816 -0.001 5.309
-2.507 4.735 0.386
Si Se Rb
3 1 1
Cartesian
0.408 0.000 2.655 Si
-1.254 2.367 0.193 Si
-2.340 -1.268 0.359 Si
-3.186 1.099 3.207 Se
0.000 0.000 0.000 Rb
```

Values from the calculation:
- Space-group type: Pm-3m (221)
- ΔE_f (raw): 2611 meV per atom
- DOS at the Fermi energy: 1.52 states/eV/atom
- Polymorph energy (0 for the lowest one): 1641 meV per atom

No. 16
## RbSi3Se (SCAN)

Data for a crystal of RbSi3Se relaxed with PBEsol.

Cell and atoms, written as POSCAR:
```
RbSi3Se
1.0
-4.234 0.838 -2.757
-0.625 -5.051 -0.575
-2.813 -0.139 4.278
Si Se Rb
3 1 1
Cartesian
-0.313 -2.526 -0.288 Si
-1.407 -0.070 2.139 Si
-2.117 0.419 -1.379 Si
0.000 0.000 0.000 Se
-3.836 -2.176 0.473 Rb
```

Values from the calculation:
- Space-group type: Pm-3m (221)
- ΔE_f (raw): 970 meV per atom
- DOS at the Fermi energy: 0.52 states/eV/atom
- Polymorph energy (0 for the lowest one): 0 meV per atom

No. 17
## RbSn2Se4 (SCAN)

Data for a crystal of RbSn2Se4 relaxed with PBEsol.

Cell and atoms, written as POSCAR:
```
RbSn2Se4
1.0
-3.918 6.027 2.565
-7.994 -1.809 -8.510
-10.110 -11.672 11.978
Rb Sn Se
8 16 32
Cartesian
-11.658 -2.541 5.006 Rb
-10.365 -4.913 1.028 Rb
-8.357 1.813 0.802 Rb
-10.435 -3.971 9.355 Rb
-11.588 -3.482 -3.322 Rb
-17.876 -11.284 4.421 Rb
-13.666 -9.266 5.231 Rb
-4.146 3.831 1.613 Rb
-7.469 -4.381 6.206 Sn
-16.155 -3.360 3.771 Sn
-9.839 -7.061 6.124 Sn
-14.700 -4.861 9.961 Sn
-9.774 0.383 -3.139 Sn
-14.713 -6.442 2.025 Sn
-4.073 0.042 -2.561 Sn
-5.868 -4.094 2.263 Sn
-7.323 -2.592 -3.928 Sn
-14.554 -3.073 -0.172 Sn
-7.309 -1.011 4.008 Sn
-4.576 -0.595 0.924 Sn
-17.950 -7.495 8.594 Sn
-17.447 -6.859 5.109 Sn
-12.249 -7.836 9.172 Sn
-12.184 -0.392 -0.091 Sn
-13.430 -3.352 7.835 Se
-15.688 -11.860 7.013 Se
-19.389 -7.985 6.318 Se
-11.900 1.697 -3.380 Se
-9.487 -1.325 -4.988 Se
-16.665 -2.831 1.311 Se
-9.810 -0.962 -0.911 Se
-5.619 0.897 2.626 Se
-9.278 -5.299 4.368 Se
-14.201 -4.874 4.217 Se
-14.373 -9.170 8.624 Se
-13.381 -5.294 -0.583 Se
-8.593 -4.102 -1.802 Se
-7.822 -2.579 1.816 Se
-16.028 -6.386 7.224 Se
-2.634 0.532 -0.284 Se
-5.357 -4.622 4.722 Se
-18.382 -4.628 4.224 Se
-8.641 -2.160 6.617 Se
-5.995 -1.067 -1.191 Se
-8.130 -6.254 7.896 Se
-6.335 4.407 -0.980 Se
-12.745 -2.155 1.665 Se
-7.650 1.716 -2.591 Se
-13.893 -1.200 -1.862 Se
-3.640 -2.825 1.810 Se
-12.213 -6.491 6.944 Se
-10.122 -9.151 9.414 Se
-16.404 -8.350 3.407 Se
-9.771 -0.087 3.300 Se
-12.535 -6.129 11.021 Se
-12.252 -7.367 2.733 Se
```

Values from the calculation:
- Space-group type: P2_1/c (14)
- ΔE_f (raw): -649 meV per atom

No. 18
## RbSrSe3 (SCAN)

Data for a crystal of RbSrSe3 relaxed with PBEsol.

Cell and atoms, written as POSCAR:
```
RbSrSe3
1.0
-0.715 -4.885 -2.534
2.219 -2.594 4.375
-5.036 -0.449 2.287
Sr Se Rb
1 3 1
Cartesian
-1.766 -3.964 2.065 Sr
1.109 -1.297 2.188 Se
-2.518 -0.225 1.144 Se
-0.358 -2.443 -1.267 Se
0.000 0.000 0.000 Rb
```

Values from the calculation:
- Space-group type: Pm-3m (221)
- ΔE_f (raw): -85 meV per atom
- DOS at the Fermi energy: 1.03 states/eV/atom

No. 19
## RbSr2ZnSe (SCAN)

Data for a crystal of RbSr2ZnSe relaxed with PBEsol.

Cell and atoms, written as POSCAR:
```
RbSr2ZnSe
1.0
-4.607 -3.548 0.496
3.392 -4.579 -1.256
1.381 -0.843 6.801
Sr Zn Se Rb
2 1 1 1
Cartesian
1.696 -2.290 -0.628 Sr
-2.303 -1.774 0.248 Sr
0.691 -0.421 3.400 Zn
0.000 0.000 0.000 Se
0.084 -4.485 3.020 Rb
```

Values from the calculation:
- Space-group type: P4/mmm (123)
- ΔE_f (raw): -428 meV per atom
- DOS at the Fermi energy: 0.65 states/eV/atom

No. 20
## RbTa3Se (SCAN)

Data for a crystal of RbTa3Se relaxed with PBEsol.

Cell and atoms, written as POSCAR:
```
RbTa3Se
1.0
4.874 0.000 0.000
0.000 4.874 0.000
0.000 0.000 4.874
Se Rb Ta
1 1 3
Cartesian
0.000 0.000 0.000 Se
2.437 2.437 2.437 Rb
0.000 2.437 0.000 Ta
0.000 0.000 2.437 Ta
2.437 0.000 0.000 Ta
```

Values from the calculation:
- Space-group type: Pm-3m (221)
- ΔE_f (raw): 1547 meV per atom
- DOS at the Fermi energy: 0.76 states/eV/atom

No. 21
## RbTbSe2 (SCAN)

Data for a crystal of RbTbSe2 relaxed with PBEsol.

Cell and atoms, written as POSCAR:
```
RbTbSe2
1.0
-2.325 2.405 2.511
-2.798 -1.750 2.569
3.783 -0.327 7.301
Tb Rb Se
1 1 2
Cartesian
-0.670 0.164 6.190 Tb
0.000 0.000 0.000 Rb
-1.292 0.274 8.993 Se
-0.049 0.053 3.387 Se
```

Values from the calculation:
- Space-group type: R-3m (166)
- ΔE_f (raw): -1977 meV per atom
- DOS at the Fermi energy: 0.00 states/eV/atom

No. 22
## Rb2Tc3Se6 (SCAN)

Data for a crystal of Rb2Tc3Se6 relaxed with PBEsol.

Cell and atoms, written as POSCAR:
```
Rb2Tc3Se6
1.0
10.032 0.000 0.000
-5.016 8.776 0.010
0.000 -0.290 12.385
Rb Tc Se
8 12 24
Cartesian
3.782 -0.073 3.096 Rb
6.251 -0.218 9.289 Rb
7.808 -0.073 3.096 Rb
2.224 -0.218 9.289 Rb
2.502 6.535 12.162 Rb
7.518 1.805 6.425 Rb
2.515 1.950 0.233 Rb
-2.502 6.680 5.970 Rb
1.568 2.680 5.908 Tc
6.585 5.950 0.295 Tc
3.448 5.805 6.487 Tc
-1.568 2.535 12.100 Tc
1.750 4.985 4.672 Tc
6.767 3.645 1.530 Tc
3.266 3.500 7.723 Tc
-1.750 4.840 10.865 Tc
3.906 3.584 5.167 Tc
-1.111 5.047 1.036 Tc
1.111 4.902 7.228 Tc
6.127 3.439 11.359 Tc
0.960 2.696 8.324 Se
5.976 5.645 10.264 Se
4.056 5.790 4.071 Se
-0.960 2.841 2.131 Se
4.583 4.534 0.794 Se
-0.433 4.096 5.408 Se
0.433 3.951 11.601 Se
5.449 4.389 6.986 Se
2.837 5.628 8.896 Se
7.853 2.712 9.691 Se
2.179 2.857 3.498 Se
-2.837 5.773 2.704 Se
1.324 7.085 5.986 Se
6.340 1.545 0.216 Se
3.692 1.400 6.409 Se
-1.324 6.940 12.179 Se
9.659 0.333 11.403 Se
4.642 8.007 7.185 Se
-4.642 8.152 0.992 Se
0.374 0.478 5.210 Se
0.788 6.075 2.502 Se
5.804 2.555 3.701 Se
4.228 2.410 9.893 Se
-0.788 5.930 8.694 Se
```

Values from the calculation:
- Space-group type: C2/c (15)
- ΔE_f (raw): -865 meV per atom

No. 23
## Rb2TeSe (SCAN)

Data for a crystal of Rb2TeSe relaxed with PBEsol.

Cell and atoms, written as POSCAR:
```
Rb2TeSe
1.0
5.867 0.000 0.000
2.933 5.081 0.000
2.933 1.694 4.790
Te Se Rb
1 1 2
Cartesian
5.867 3.387 2.395 Te
0.000 0.000 0.000 Se
2.933 1.694 1.198 Rb
8.800 5.081 3.593 Rb
```

Values from the calculation:
- Space-group type: Fm-3m (225)
- ΔE_f (raw): -679 meV per atom
- DOS at the Fermi energy: 0.50 states/eV/atom

| no. | calculated total energy (eV/atom) | magnetic moment (μB/cell) |
| --- | --- | --- |
| 1 | -17.8173 | 0.000 |
| 2 | -16.7045 | 3.684 |
| 3 | -18.6612 | 2.077 |
| 4 | -15.9450 | 4.805 |
| 5 | -19.3433 | 0.000 |
| 6 | -21.8074 | 0.032 |
| 7 | -20.4356 | 7.702 |
| 8 | -29.2414 | 0.000 |
| 9 | -30.1127 | 1.917 |
| 10 | -29.0867 | 1.620 |
| 11 | -45.1086 | 0.012 |
| 12 | -21.7646 | 0.000 |
| 13 | -21.5095 | 0.000 |
| 14 | -16.4831 | 0.000 |
| 15 | -11.5621 | 0.012 |
| 16 | -13.2030 | 0.000 |
| 17 | -25.3482 | 0.000 |
| 18 | -20.7347 | 0.002 |
| 19 | -20.2044 | 0.001 |
| 20 | -46.5666 | 0.000 |
| 21 | -28.8918 | 0.000 |
| 22 | -25.1491 | 0.000 |
| 23 | -25.3809 | 2.017 |